1.
VASP calculation (PBE) on crystalline GeB2Pt2Rh5 at its relaxed geometry.

```
GeB2Pt2Rh5
1.0
-1.537 1.936 1.343
-5.029 1.594 -8.055
-6.305 -6.801 2.590
Rh B Pt Ge
10 4 4 2
Direct
0.500 0.470 0.281
0.500 0.219 0.030
0.500 0.781 0.970
0.500 0.970 0.219
0.500 0.500 0.000
0.500 0.719 0.470
0.500 0.000 0.500
0.500 0.030 0.781
0.500 0.281 0.530
0.500 0.530 0.719
0.000 0.129 0.629
0.000 0.871 0.371
0.000 0.371 0.129
0.000 0.629 0.871
0.000 0.712 0.212
0.000 0.288 0.788
0.000 0.788 0.712
0.000 0.212 0.288
0.000 0.500 0.500
0.000 0.000 0.000
```



2.
VASP calculation (PBE) on crystalline Ag4I2Cl3 at its relaxed geometry.

```
Ag4I2Cl3
1.0
7.773 0.209 0.149
0.421 8.141 -2.154
0.421 0.584 8.401
Cl I Ag
6 4 8
Direct
0.250 0.666 0.334
0.750 0.334 0.666
0.379 0.317 0.931
0.121 0.069 0.683
0.621 0.683 0.069
0.879 0.931 0.317
0.624 0.792 0.647
0.376 0.208 0.353
0.876 0.353 0.208
0.124 0.647 0.792
0.507 0.882 0.342
0.520 0.456 0.212
0.480 0.544 0.788
0.993 0.658 0.118
0.007 0.342 0.882
0.493 0.118 0.658
0.020 0.212 0.456
0.980 0.788 0.544
```



no.,energy (eV/cell)
1,-138.43
2,-45.64